No. 1
The following is a DFT calculation (GGA-PBE) of a geometry-optimized CaMgIrPd structure.

- DFT formation energy: -0.36 eV/atom
- D(E_F): 2.2 states/eV/f.u.

POSCAR file:
```
CaMgIrPd
1.0
6.619 0.000 0.000
0.000 6.619 0.000
0.000 0.000 6.619
Ca Mg Ir Pd
4 4 4 4
direct
0.000 0.000 0.000
0.000 0.500 0.500
0.500 0.000 0.500
0.500 0.500 0.000
0.000 0.000 0.500
0.000 0.500 0.000
0.500 0.000 0.000
0.500 0.500 0.500
0.250 0.250 0.750
0.250 0.750 0.250
0.750 0.250 0.250
0.750 0.750 0.750
0.250 0.250 0.250
0.250 0.750 0.750
0.750 0.250 0.750
0.750 0.750 0.250
```



No. 2
The following is a DFT calculation (GGA-PBE) of a geometry-optimized PtW3N structure.

- Offset from the most stable computed form: 16.88 eV/f.u.
- ΔE_f (raw): 16.39 eV/f.u.
- D(E_F): 4.6 states/eV/f.u.

POSCAR file:
```
PtW3N
1.0
4.772 0.000 0.000
0.000 4.772 0.000
0.000 0.000 4.772
Pt W N
1 3 1
direct
0.000 0.000 0.000
0.000 0.000 0.500
0.000 0.500 0.000
0.500 0.000 0.000
0.500 0.500 0.500
```



No. 3
The following is a DFT calculation (GGA-PBE) of a geometry-optimized GaBiSeBr2 structure.

- Offset from the most stable computed form: 0.00 eV/f.u.
- ΔE_f (raw): -1.18 eV/f.u.
- D(E_F): 1.0 states/eV/f.u.

POSCAR file:
```
GaBiSeBr2
1.0
5.777 0.000 0.000
0.000 5.777 0.000
0.000 0.000 5.584
Ga Bi Se Br
1 1 1 2
direct
0.000 0.000 0.000
0.500 0.500 0.500
0.500 0.500 0.000
0.000 0.500 0.500
0.500 0.000 0.500
```



No. 4
The following is a DFT calculation (GGA-PBE) of a geometry-optimized NaMg8Ag4 structure.

- DFT formation energy: -0.13 eV/atom
- D(E_F): 4.5 states/eV/f.u.

POSCAR file:
```
NaMg8Ag4
1.0
-4.932 4.932 2.854
4.932 -4.932 2.854
4.932 4.932 -2.854
Na Mg Ag
1 8 4
direct
0.000 0.000 0.000
0.000 0.341 0.341
0.000 0.659 0.659
0.282 0.500 0.782
0.341 0.000 0.341
0.500 0.282 0.782
0.500 0.718 0.218
0.659 0.000 0.659
0.718 0.500 0.218
0.000 0.000 0.500
0.000 0.500 0.000
0.500 0.000 0.000
0.500 0.500 0.500
```